The following is a DFT calculation (GGA-PBE) of a relaxed V6Cr2Os crystal.

Results
VASP energy in eV/atom: -9.541
DOS(E_F) in states/eV per atom: 0.717
ΔH_f (0 K) in eV per atom: -0.076

Cell lengths 7.384, 7.544, 4.270 Å; angles 90.00, 90.00, 90.00 degrees
Space group Pnnm (No. 58)
Asymmetric unit:
V (0.001, 0.168, 0.000) (multiplicity 4)
V (0.163, 0.063, 0.500) (multiplicity 4)
V (0.168, 0.403, 0.500) (multiplicity 4)
Cr (0.167, 0.735, 0.500) (multiplicity 4)
Os (0.000, 0.500, 0.000) (multiplicity 2)


The following is a DFT calculation (GGA-PBE) of a relaxed V4Cr2Os crystal.

Results
Polymorph energy (0 for the lowest one) in meV per atom: 0
VASP energy in eV/atom: -9.570
DOS(E_F) in states/eV per atom: 0.666
ΔH_f (0 K) in eV per atom: -0.006

Cell lengths 3.024, 20.761, 2.958 Å; angles 90.00, 90.00, 90.00 degrees
Space group Cmmm (No. 65)
Asymmetric unit:
V (0.000, 0.074, 0.000) (multiplicity 4)
V (0.000, 0.353, 0.500) (multiplicity 4)
Cr (0.000, 0.210, 0.000) (multiplicity 4)
Os (0.000, 0.500, 0.500) (multiplicity 2)


The following is a DFT calculation (GGA-PBE) of a relaxed V2Cr3Os crystal.

Results
VASP energy in eV/atom: -9.847
DOS(E_F) in states/eV per atom: 0.761
ΔH_f (0 K) in eV per atom: -0.124

Cell lengths 12.475, 4.132, 7.153 Å; angles 90.00, 124.69, 90.00 degrees
Space group C2/m (No. 12)
Asymmetric unit:
V (0.039, 0.000, 0.367) (multiplicity 4)
V (0.206, 0.500, 0.368) (multiplicity 4)
Cr (0.042, 0.500, 0.883) (multiplicity 4)
Cr (0.121, 0.000, 0.119) (multiplicity 4)
Cr (0.212, 0.000, 0.884) (multiplicity 4)
Os (0.130, 0.500, 0.630) (multiplicity 4)


The following is a DFT calculation (GGA-PBE) of a relaxed V3CrOs crystal.

Results
Polymorph energy (0 for the lowest one) in meV per atom: 0
VASP energy in eV/atom: -9.653
DOS(E_F) in states/eV per atom: 1.034
ΔH_f (0 K) in eV per atom: -0.011

Cell lengths 8.393, 4.896, 7.157 Å; angles 90.00, 115.50, 90.00 degrees
Space group Cm (No. 8)
Asymmetric unit:
V (0.000, 0.000, 0.000) (multiplicity 2)
V (0.053, 0.244, 0.370) (multiplicity 4)
V (0.164, 0.256, 0.765) (multiplicity 4)
V (0.407, 0.000, 0.756) (multiplicity 2)
Cr (0.306, 0.000, 0.371) (multiplicity 2)
Cr (0.357, 0.000, 0.070) (multiplicity 2)
Os (0.214, 0.500, 0.130) (multiplicity 2)
Os (0.358, 0.500, 0.564) (multiplicity 2)


The following is a DFT calculation (GGA-PBE) of a relaxed V3Cr2Os crystal.

Results
VASP energy in eV/atom: -9.865
DOS(E_F) in states/eV per atom: 0.633
ΔH_f (0 K) in eV per atom: -0.226

Cell lengths 2.946, 2.946, 8.890 Å; angles 90.00, 90.00, 90.00 degrees
Space group P4/mmm (No. 123)
Asymmetric unit:
V (0.000, 0.000, 0.000) (multiplicity 1)
V (0.000, 0.000, 0.323) (multiplicity 2)
Cr (0.500, 0.500, 0.164) (multiplicity 2)
Os (0.500, 0.500, 0.500) (multiplicity 1)


The following is a DFT calculation (GGA-PBE) of a relaxed VCr2Os2 crystal.

Results
Polymorph energy (0 for the lowest one) in meV per atom: 0
VASP energy in eV/atom: -9.965
DOS(E_F) in states/eV per atom: 1.303
ΔH_f (0 K) in eV per atom: 0.199

Cell lengths 7.039, 7.039, 2.775 Å; angles 90.00, 90.00, 90.00 degrees
Space group P4/mbm (No. 127)
Asymmetric unit:
V (0.000, 0.000, 0.000) (multiplicity 2)
Cr (0.141, 0.359, 0.000) (multiplicity 4)
Os (0.159, 0.659, 0.500) (multiplicity 4)


The following is a DFT calculation (GGA-PBE) of a relaxed V3CrOs crystal.

Results
Polymorph energy (0 for the lowest one) in meV per atom: 127
VASP energy in eV/atom: -9.527
DOS(E_F) in states/eV per atom: 1.027
ΔH_f (0 K) in eV per atom: 0.115

Cell lengths 4.198, 4.587, 7.342 Å; angles 90.00, 106.46, 90.00 degrees
Space group P2_1/m (No. 11)
Asymmetric unit:
V (0.000, 0.000, 0.000) (multiplicity 2)
V (0.239, 0.250, 0.477) (multiplicity 2)
V (0.441, 0.250, 0.882) (multiplicity 2)
Cr (0.160, 0.750, 0.318) (multiplicity 2)
Os (0.358, 0.750, 0.719) (multiplicity 2)


The following is a DFT calculation (GGA-PBE) of a relaxed V12Cr3Os5 crystal.

Results
VASP energy in eV/atom: -8.753
DOS(E_F) in states/eV per atom: 1.553
ΔH_f (0 K) in eV per atom: 0.969

Cell lengths 13.969, 13.969, 13.969 Å; angles 90.00, 90.00, 90.00 degrees
Space group Ia-3d (No. 230)
Asymmetric unit:
V (0.019, 0.086, 0.649) (multiplicity 96)
Cr (0.000, 0.250, 0.125) (multiplicity 24)
Os (0.000, 0.000, 0.000) (multiplicity 16)
Os (0.000, 0.250, 0.375) (multiplicity 24)


The following is a DFT calculation (GGA-PBE) of a relaxed V2Cr4Os crystal.

Results
VASP energy in eV/atom: -8.405
DOS(E_F) in states/eV per atom: 1.468
ΔH_f (0 K) in eV per atom: 1.304

Cell lengths 4.485, 4.485, 12.474 Å; angles 90.00, 90.00, 90.00 degrees
Space group I4/mmm (No. 139)
Asymmetric unit:
V (0.000, 0.000, 0.113) (multiplicity 4)
Cr (0.000, 0.000, 0.305) (multiplicity 4)
Cr (0.000, 0.500, 0.000) (multiplicity 4)
Os (0.000, 0.000, 0.500) (multiplicity 2)


The following is a DFT calculation (GGA-PBE) of a relaxed V3CrOs crystal.

Results
Polymorph energy (0 for the lowest one) in meV per atom: 1020
VASP energy in eV/atom: -8.633
DOS(E_F) in states/eV per atom: 1.168
ΔH_f (0 K) in eV per atom: 1.008

Cell lengths 4.205, 4.205, 4.205 Å; angles 90.00, 90.00, 90.00 degrees
Space group Pm-3m (No. 221)
Asymmetric unit:
V (0.000, 0.000, 0.500) (multiplicity 3)
Cr (0.000, 0.000, 0.000) (multiplicity 1)
Os (0.500, 0.500, 0.500) (multiplicity 1)


The following is a DFT calculation (GGA-PBE) of a relaxed V4CrOs2 crystal.

Results
VASP energy in eV/atom: -8.953
DOS(E_F) in states/eV per atom: 1.403
ΔH_f (0 K) in eV per atom: 0.841

Cell lengths 4.189, 4.189, 12.507 Å; angles 90.00, 90.00, 90.00 degrees
Space group I4/mmm (No. 139)
Asymmetric unit:
V (0.000, 0.000, 0.189) (multiplicity 4)
V (0.000, 0.500, 0.000) (multiplicity 4)
Cr (0.000, 0.000, 0.000) (multiplicity 2)
Os (0.000, 0.000, 0.375) (multiplicity 4)


The following is a DFT calculation (GGA-PBE) of a relaxed V15Cr2Os2 crystal.

Results
VASP energy in eV/atom: -9.103
DOS(E_F) in states/eV per atom: 1.207
ΔH_f (0 K) in eV per atom: 0.291

Cell lengths 8.2669, 8.2669, 13.3385 Å; angles 90.00, 90.00, 120.00 degrees
Space group R-3m (No. 166, hexagonal axes)
Asymmetric unit:
V (0.0000, 0.3150, 0.0000) (multiplicity 18)
V (0.0000, 0.5000, 0.5000) (multiplicity 9)
V (0.0095, 0.5047, 0.1557) (multiplicity 18)
Cr (0.0000, 0.0000, 0.0868) (multiplicity 6)
Os (0.0000, 0.0000, 0.3000) (multiplicity 6)


The following is a DFT calculation (GGA-PBE) of a relaxed V6CrOs crystal.

Results
Polymorph energy (0 for the lowest one) in meV per atom: 0
VASP energy in eV/atom: -9.651
DOS(E_F) in states/eV per atom: 1.396
ΔH_f (0 K) in eV per atom: -0.205

Cell lengths 5.952, 8.481, 4.184 Å; angles 90.00, 90.00, 90.00 degrees
Space group Cmmm (No. 65)
Asymmetric unit:
V (0.000, 0.248, 0.000) (multiplicity 4)
V (0.244, 0.000, 0.000) (multiplicity 4)
V (0.250, 0.250, 0.500) (multiplicity 4)
Cr (0.000, 0.000, 0.500) (multiplicity 2)
Os (0.000, 0.500, 0.500) (multiplicity 2)


The following is a DFT calculation (GGA-PBE) of a relaxed V5CrOs2 crystal.

Results
VASP energy in eV/atom: -10.003
DOS(E_F) in states/eV per atom: 0.632
ΔH_f (0 K) in eV per atom: -0.294

Cell lengths 4.209, 4.209, 11.994 Å; angles 90.00, 90.00, 90.00 degrees
Space group I4/mmm (No. 139)
Asymmetric unit:
V (0.000, 0.000, 0.000) (multiplicity 2)
V (0.000, 0.500, 0.121) (multiplicity 8)
Cr (0.000, 0.000, 0.500) (multiplicity 2)
Os (0.000, 0.000, 0.250) (multiplicity 4)


The following is a DFT calculation (GGA-PBE) of a relaxed CrOsW2 crystal.

Results
Polymorph energy (0 for the lowest one) in meV per atom: 36
VASP energy in eV/atom: -11.516
DOS(E_F) in states/eV per atom: 0.827
ΔH_f (0 K) in eV per atom: 0.173

Cell lengths 6.178, 6.178, 6.178 Å; angles 90.00, 90.00, 90.00 degrees
Space group Fm-3m (No. 225)
Asymmetric unit:
Cr (0.000, 0.000, 0.000) (multiplicity 4)
Os (0.000, 0.000, 0.500) (multiplicity 4)
W (0.250, 0.250, 0.250) (multiplicity 8)


The following is a DFT calculation (GGA-PBE) of a relaxed Cr2OsW crystal.

Results
VASP energy in eV/atom: -10.711
DOS(E_F) in states/eV per atom: 1.025
ΔH_f (0 K) in eV per atom: 0.146

Cell lengths 3.027, 4.257, 4.317 Å; angles 90.00, 90.00, 90.00 degrees
Space group Pmmm (No. 47)
Asymmetric unit:
Cr (0.000, 0.000, 0.000) (multiplicity 1)
Cr (0.500, 0.000, 0.500) (multiplicity 1)
Os (0.000, 0.500, 0.500) (multiplicity 1)
W (0.500, 0.500, 0.000) (multiplicity 1)


The following is a DFT calculation (GGA-PBE) of a relaxed CrOsW2 crystal.

Results
Polymorph energy (0 for the lowest one) in meV per atom: 58
VASP energy in eV/atom: -11.495
DOS(E_F) in states/eV per atom: 1.099
ΔH_f (0 K) in eV per atom: 0.195

Cell lengths 4.394, 4.394, 3.055 Å; angles 90.00, 90.00, 90.00 degrees
Space group P4/mmm (No. 123)
Asymmetric unit:
Cr (0.000, 0.000, 0.000) (multiplicity 1)
Os (0.500, 0.500, 0.000) (multiplicity 1)
W (0.000, 0.500, 0.500) (multiplicity 2)


The following is a DFT calculation (GGA-PBE) of a relaxed CrOs2W2 crystal.

Results
VASP energy in eV/atom: -11.143
DOS(E_F) in states/eV per atom: 0.979
ΔH_f (0 K) in eV per atom: 0.455

Cell lengths 7.416, 7.416, 2.883 Å; angles 90.00, 90.00, 90.00 degrees
Space group P4/mbm (No. 127)
Asymmetric unit:
Cr (0.000, 0.000, 0.000) (multiplicity 2)
Os (0.134, 0.366, 0.000) (multiplicity 4)
W (0.165, 0.665, 0.500) (multiplicity 4)


The following is a DFT calculation (GGA-PBE) of a relaxed CrOsW2 crystal.

Results
Polymorph energy (0 for the lowest one) in meV per atom: 35
VASP energy in eV/atom: -11.518
DOS(E_F) in states/eV per atom: 1.003
ΔH_f (0 K) in eV per atom: 0.172

Cell lengths 2.722, 4.328, 5.114 Å; angles 90.00, 100.93, 90.00 degrees
Space group Pm (No. 6)
Asymmetric unit:
Cr (0.000, 0.000, 0.000) (multiplicity 1)
Os (0.716, 0.500, 0.259) (multiplicity 1)
W (0.206, 0.500, 0.773) (multiplicity 1)
W (0.442, 0.000, 0.502) (multiplicity 1)


The following is a DFT calculation (GGA-PBE) of a relaxed CrOsW2 crystal.

Results
Polymorph energy (0 for the lowest one) in meV per atom: 124
VASP energy in eV/atom: -11.429
DOS(E_F) in states/eV per atom: 1.185
ΔH_f (0 K) in eV per atom: 0.261

Cell lengths 5.585, 7.547, 2.823 Å; angles 90.00, 90.00, 90.00 degrees
Space group Cmmm (No. 65)
Asymmetric unit:
Cr (0.000, 0.000, 0.000) (multiplicity 2)
Os (0.000, 0.500, 0.000) (multiplicity 2)
W (0.250, 0.250, 0.500) (multiplicity 4)


The following is a DFT calculation (GGA-PBE) of a relaxed CrOsW2 crystal.

Results
Polymorph energy (0 for the lowest one) in meV per atom: 0
VASP energy in eV/atom: -11.552
DOS(E_F) in states/eV per atom: 0.544
ΔH_f (0 K) in eV per atom: 0.137

Cell lengths 3.038, 3.038, 6.340 Å; angles 90.00, 90.00, 90.00 degrees
Space group P4/mmm (No. 123)
Asymmetric unit:
Cr (0.000, 0.000, 0.000) (multiplicity 1)
Os (0.000, 0.000, 0.500) (multiplicity 1)
W (0.500, 0.500, 0.232) (multiplicity 2)